This record from Alexandria describes Ac2Nd5Y4 after structural relaxation. The functional is PBE.

```
Ac2Nd5Y4
1.0
5.3513 1.3677 -3.2302
-3.8108 7.2387 -5.3003
1.0435 -4.2964 12.5523
Y Nd Ac
4 5 2
Direct
0.9496 0.7288 0.4049
0.0504 0.2712 0.5951
0.6730 0.0946 0.8602
0.3270 0.9054 0.1398
0.7749 0.6329 0.0455
0.4073 0.4621 0.3194
0.2251 0.3671 0.9545
0.5927 0.5379 0.6806
0.5000 0.0000 0.5000
0.1289 0.8210 0.7734
0.8711 0.1790 0.2266
```

Energy of formation in eV per atom: 0.03
Space-group type: P-1, No. 2
E_tot in eV per atom: -5.231

This record from Alexandria describes Pu2TlPd3 after structural relaxation. The functional is PBE.

```
Pu2TlPd3
1.0
-4.4249 1.8161 3.0494
-2.2105 -6.2889 0.5379
3.0278 -2.0345 5.6053
Pu Pd Tl
4 6 2
Direct
0.7500 0.5860 0.9263
0.7500 0.9263 0.5860
0.2500 0.0737 0.4140
0.2500 0.4140 0.0737
0.5000 0.6795 0.3205
0.2500 0.6797 0.6797
0.5000 0.3205 0.6795
0.0000 0.6795 0.3205
0.7500 0.3203 0.3203
0.0000 0.3205 0.6795
0.7500 0.0571 0.0571
0.2500 0.9429 0.9429
```

Energy of formation in eV per atom: -0.28
Space-group type: Cmcm, No. 63
E_tot in eV per atom: -8.049

This record from Alexandria describes DyPtO after structural relaxation. The functional is PBE.

```
DyPtO
1.0
5.5756 0.0867 0.1659
-1.9850 7.5700 -1.0483
1.6056 2.4750 4.7348
Pt O Dy
4 4 4
Direct
0.2635 0.1806 0.7953
0.3329 0.3194 0.2259
0.4547 0.6806 0.9865
0.0241 0.8194 0.9171
0.4045 0.8723 0.2879
0.8399 0.1277 0.4677
0.9621 0.3723 0.8455
0.7823 0.6277 0.4101
0.6879 0.0972 0.9003
0.0024 0.9028 0.4094
0.3497 0.5972 0.5621
0.8406 0.4028 0.2476
```

Space-group type: Fdd2, No. 43
E_tot in eV per atom: -7.033

This record from Alexandria describes Er3Sc5H12 after structural relaxation. The functional is PBE.

```
Er3Sc5H12
1.0
-4.4685 -9.2591 -2.8356
4.4674 4.5557 -8.5456
7.4747 -1.7778 7.3964
H Er Sc
48 12 20
Direct
0.2176 0.5559 0.6436
0.4123 0.0559 0.3382
0.1436 0.7176 0.5559
0.6436 0.5877 0.9260
0.5877 0.9441 0.6618
0.1436 0.4260 0.0877
0.0559 0.6436 0.7176
0.2824 0.4260 0.8382
0.3382 0.7824 0.4260
0.4260 0.1436 0.5877
0.9260 0.0877 0.6436
0.9441 0.3564 0.2824
0.7824 0.3382 0.9260
0.2176 0.6618 0.0740
0.0740 0.9123 0.3564
0.8382 0.9260 0.2824
0.6618 0.2176 0.5740
0.7824 0.4441 0.3564
0.7176 0.5740 0.1618
0.8564 0.2824 0.4441
0.8382 0.9123 0.0559
0.4260 0.2824 0.3382
0.9260 0.8382 0.7824
0.6618 0.4441 0.5877
0.6436 0.0559 0.2176
0.9123 0.8382 0.5559
0.5740 0.8564 0.4123
0.4123 0.3564 0.5740
0.9123 0.0740 0.8564
0.3382 0.5559 0.4123
0.0877 0.9260 0.1436
0.5877 0.6436 0.4260
0.0559 0.4123 0.8382
0.2824 0.8564 0.9441
0.3564 0.9441 0.7824
0.5559 0.2176 0.1436
0.4441 0.7824 0.8564
0.5559 0.3382 0.9123
0.4441 0.6618 0.0877
0.0740 0.1618 0.2176
0.9441 0.5877 0.1618
0.5740 0.7176 0.6618
0.1618 0.0740 0.7176
0.0877 0.1618 0.4441
0.3564 0.4123 0.0740
0.7176 0.1436 0.0559
0.8564 0.5740 0.9123
0.1618 0.0877 0.9441
0.3750 0.6250 0.2500
0.2500 0.6250 0.8750
0.7500 0.3750 0.1250
0.8750 0.7500 0.1250
0.8750 0.1250 0.2500
0.6250 0.2500 0.3750
0.1250 0.8750 0.7500
0.7500 0.8750 0.6250
0.1250 0.2500 0.8750
0.2500 0.1250 0.3750
0.6250 0.3750 0.7500
0.3750 0.7500 0.6250
0.6250 0.8750 0.2500
0.8750 0.2500 0.6250
0.2500 0.8750 0.1250
0.8750 0.6250 0.7500
0.7500 0.6250 0.3750
0.7500 0.1250 0.8750
0.5000 0.0000 0.5000
0.0000 0.5000 0.5000
0.0000 0.0000 0.0000
0.1250 0.3750 0.2500
0.1250 0.7500 0.3750
0.5000 0.0000 0.0000
0.6250 0.7500 0.8750
0.3750 0.2500 0.1250
0.0000 0.0000 0.5000
0.2500 0.3750 0.6250
0.3750 0.1250 0.7500
0.5000 0.5000 0.5000
0.0000 0.5000 0.0000
0.5000 0.5000 0.0000
```

Space-group type: Ia-3d, No. 230
E_tot in eV per atom: -4.770

This record from Alexandria describes Rb5Sn3I12 after structural relaxation. The functional is PBE.

```
Rb5Sn3I12
1.0
18.4209 0.0000 0.0000
-6.1403 17.3674 0.0000
-6.1403 -8.6837 15.0406
Rb I Sn
20 48 12
Direct
0.0000 0.0000 0.0000
0.3750 0.2500 0.1250
0.1250 0.7500 0.3750
0.2500 0.8750 0.1250
0.7500 0.1250 0.8750
0.2500 0.3750 0.6250
0.0000 0.5000 0.0000
0.0000 0.0000 0.5000
0.5000 0.5000 0.5000
0.7500 0.6250 0.3750
0.8750 0.6250 0.7500
0.8750 0.2500 0.6250
0.5000 0.0000 0.5000
0.6250 0.7500 0.8750
0.5000 0.0000 0.0000
0.1250 0.3750 0.2500
0.3750 0.1250 0.7500
0.0000 0.5000 0.5000
0.6250 0.8750 0.2500
0.5000 0.5000 0.0000
0.0230 0.7079 0.1364
0.7921 0.9285 0.8150
0.1134 0.6364 0.9285
0.3150 0.0230 0.8866
0.1850 0.6134 0.4770
0.0715 0.8636 0.8866
0.6364 0.1134 0.4285
0.3866 0.8150 0.0230
0.5715 0.1850 0.7079
0.5230 0.6364 0.2079
0.0715 0.2079 0.6850
0.4285 0.6134 0.6364
0.3636 0.4770 0.2921
0.1364 0.9285 0.6134
0.6850 0.7079 0.0715
0.1364 0.2079 0.0230
0.8636 0.7921 0.9770
0.6850 0.9770 0.1134
0.6364 0.5230 0.7079
0.3636 0.8866 0.5715
0.6134 0.1850 0.9770
0.2921 0.9770 0.3636
0.1850 0.5715 0.2079
0.7079 0.0230 0.6364
0.4770 0.3636 0.7921
0.7921 0.8636 0.4770
0.9770 0.2921 0.8636
0.2079 0.1364 0.5230
0.8150 0.3866 0.5230
0.6134 0.4285 0.1364
0.1134 0.4770 0.6850
0.7079 0.6850 0.5715
0.5715 0.3866 0.3636
0.9285 0.1364 0.1134
0.8866 0.3636 0.0715
0.9285 0.7921 0.3150
0.0230 0.3150 0.3866
0.3866 0.5715 0.8636
0.8636 0.0715 0.3866
0.5230 0.8866 0.8150
0.4285 0.8150 0.2921
0.8866 0.5230 0.3150
0.9770 0.6850 0.6134
0.2921 0.3150 0.4285
0.4770 0.1134 0.1850
0.8150 0.4285 0.7921
0.3150 0.2921 0.9285
0.2079 0.0715 0.1850
0.6250 0.2500 0.3750
0.8750 0.1250 0.2500
0.3750 0.7500 0.6250
0.1250 0.8750 0.7500
0.2500 0.1250 0.3750
0.2500 0.6250 0.8750
0.8750 0.7500 0.1250
0.3750 0.6250 0.2500
0.7500 0.8750 0.6250
0.1250 0.2500 0.8750
0.6250 0.3750 0.7500
0.7500 0.3750 0.1250
```

Space-group type: Ia-3d, No. 230
E_tot in eV per atom: -2.634

This record from Alexandria describes CaYbEu2 after structural relaxation. The functional is PBE.

```
CaYbEu2
1.0
-0.8656 -5.6753 -2.2059
-1.8252 -4.5143 3.7569
-5.6920 -2.2808 -0.4720
Eu Ca Yb
2 1 1
Direct
0.7500 0.7500 0.7500
0.2500 0.2500 0.2500
0.5000 0.5000 0.5000
0.0000 0.0000 0.0000
```

Energy of formation in eV per atom: -0.01
Space-group type: Fm-3m, No. 225
E_tot in eV per atom: -6.030

This record from Alexandria describes VGaCo2 after structural relaxation. The functional is PBE.

```
VGaCo2
1.0
2.8410 0.0000 0.0000
0.0000 4.1083 0.0000
0.0000 0.0000 4.1083
V Co Ga
1 2 1
Direct
0.5000 0.0000 0.0000
0.0000 0.5000 0.0000
0.0000 0.0000 0.5000
0.5000 0.5000 0.5000
```

Energy of formation in eV per atom: -0.20
Space-group type: P4/mmm, No. 123
E_tot in eV per atom: -6.787